The following is a DFT calculation (PBE-GGA) of a geometry-optimized HfPaBiTe structure.

As for the uncorrected formation energy: -0.325 eV per atom. The crystal system is cubic. For the magnetization, the calculation gives 0.00 μB per formula unit.

a = 5.2019 Å, b = 5.2019 Å, c = 5.2019 Å
α = 60.00°, β = 60.00°, γ = 60.00°
Closest atoms and distances in Å follow each position.
Sites, in units of the cell vectors:
Pa: 0.5000 0.5000 0.5000  4 Te 3.19, 4 Bi 3.19
Te: 0.7500 0.7500 0.7500  4 Pa 3.19, 4 Hf 3.19
Bi: 0.2500 0.2500 0.2500  4 Hf 3.19, 4 Pa 3.19
Hf: 0.0000 0.0000 0.0000  4 Bi 3.19, 4 Te 3.19